PmNiI | Alexandria via LeMat-Bulk | PBE | relaxed; space group = C2/m, No. 12; uncorrected formation energy = -0.862 eV per atom; V = 181.0 Å³ per cell; M_tot = 0.00 μB/f.u.
1.0
-3.6192 -1.8397 0.7167
3.5023 -2.1540 0.3016
2.1189 4.9508 11.3126
Pm I Ni
2 2 2
direct
0.8981 0.4506 0.3487 Pm
0.1019 0.5494 0.6513 Pm
0.5554 0.2743 0.8297 I
0.4446 0.7257 0.1703 I
0.6704 0.8350 0.5054 Ni
0.3296 0.1650 0.4946 Ni

BaHf2TcO8 | Alexandria via LeMat-Bulk | PBE | relaxed; space group = C2/m, No. 12; uncorrected formation energy = -2.545 eV per atom; V = 191.4 Å³ per cell; M_tot = 1.02 μB/f.u.
1.0
5.2073 0.5546 0.3961
0.5963 5.2033 0.3907
0.5605 0.5645 7.2271
O Hf Tc Ba
8 2 1 1
direct
0.7700 0.2085 0.8109 O
0.3429 0.3427 0.5026 O
0.7744 0.7748 0.0742 O
0.6571 0.6573 0.4974 O
0.7918 0.2303 0.1890 O
0.2082 0.7697 0.8110 O
0.2256 0.2252 0.9258 O
0.2300 0.7915 0.1891 O
0.4507 0.4507 0.7244 Hf
0.5493 0.5493 0.2756 Hf
0.0000 0.0000 0.0000 Tc
0.0000 0.0000 0.5000 Ba

NdCoN | Alexandria via LeMat-Bulk | PBE | relaxed; space group = Cmcm, No. 63; uncorrected formation energy = -0.669 eV per atom; V = 97.5 Å³ per cell; M_tot = 1.18 μB/f.u.
1.0
3.7226 0.0000 -0.2034
0.0000 3.7246 0.0000
-1.4760 0.0000 7.1123
N Co Nd
2 2 2
direct
0.6718 0.7500 0.8430 N
0.3282 0.2500 0.1570 N
0.4563 0.2500 0.4133 Co
0.5437 0.7500 0.5867 Co
0.8429 0.7500 0.1863 Nd
0.1571 0.2500 0.8137 Nd

SrSn2Bi | Alexandria via LeMat-Bulk | PBE | relaxed; space group = I-42d, No. 122; V = 273.0 Å³ per cell; M_tot = 0.00 μB/f.u.; DFT formation energy = -0.259 eV/atom
1.0
9.0621 0.0000 0.0000
0.0000 9.0621 0.0000
4.5311 4.5311 3.3242
Sr Bi Sn
2 2 4
direct
0.5000 0.5000 0.0000 Sr
0.2500 0.7500 0.5000 Sr
0.0000 0.0000 0.0000 Bi
0.7500 0.2500 0.5000 Bi
0.6540 0.1250 0.2500 Sn
0.8750 0.9040 0.7500 Sn
0.3750 0.3460 0.7500 Sn
0.0960 0.6250 0.2500 Sn

Np4PaO10 | Alexandria via LeMat-Bulk | PBE | relaxed; space group = I4/m, No. 87; uncorrected formation energy = -3.245 eV per atom; V = 198.9 Å³ per cell; M_tot = 13.00 μB/f.u.
1.0
-2.8013 4.5725 0.7835
-6.1644 -0.1446 -2.4536
-3.4499 0.1267 5.6677
O Np Pa
10 4 1
direct
0.8529 0.7035 0.0974 O
0.3462 0.7035 0.0974 O
0.9503 0.9026 0.7035 O
0.1471 0.2965 0.9026 O
0.2500 0.5000 0.5000 O
0.4436 0.9026 0.7035 O
0.5564 0.0974 0.2965 O
0.6538 0.2965 0.9026 O
0.7500 0.5000 0.5000 O
0.0497 0.0974 0.2965 O
0.1987 0.4001 0.2024 Np
0.4012 0.7976 0.4001 Np
0.5988 0.2024 0.5999 Np
0.8013 0.5999 0.7976 Np
0.0000 0.0000 0.0000 Pa

Rb2ZrSnTe5 | Alexandria via LeMat-Bulk | PBE | relaxed; space group = Cmc2_1, No. 36; uncorrected formation energy = -0.719 eV per atom; V = 742.1 Å³ per cell; M_tot = 0.00 μB/f.u.
1.0
-0.2312 -4.2357 -1.0523
2.3172 -0.5494 10.7788
-15.3423 0.0179 3.2991
Te Rb Sn Zr
10 4 2 2
direct
0.0614 0.1227 0.0350 Te
0.9386 0.8773 0.5350 Te
0.6924 0.3849 0.1522 Te
0.3076 0.6151 0.6522 Te
0.6958 0.3916 0.8968 Te
0.6660 0.3319 0.5065 Te
0.5044 0.0089 0.7681 Te
0.4956 0.9911 0.2681 Te
0.3042 0.6084 0.3968 Te
0.3340 0.6681 0.0065 Te
0.8657 0.7314 0.1906 Rb
0.1265 0.2530 0.3249 Rb
0.8735 0.7470 0.8249 Rb
0.1343 0.2686 0.6906 Rb
0.4337 0.8674 0.4167 Sn
0.5663 0.1326 0.9167 Sn
0.7893 0.5787 0.5333 Zr
0.2107 0.4213 0.0333 Zr

K2PtBr | Alexandria via LeMat-Bulk | PBE | relaxed; space group = I-42d, No. 122; uncorrected formation energy = -0.323 eV per atom; V = 236.2 Å³ per cell; M_tot = 0.00 μB/f.u.
1.0
8.8000 0.0000 0.0000
0.0000 8.8000 0.0000
4.4000 4.4000 3.0502
K Br Pt
4 2 2
direct
0.3750 0.3655 0.7500 K
0.8750 0.8845 0.7500 K
0.1155 0.6250 0.2500 K
0.6345 0.1250 0.2500 K
0.5000 0.5000 0.0000 Br
0.2500 0.7500 0.5000 Br
0.7500 0.2500 0.5000 Pt
0.0000 0.0000 0.0000 Pt

LiAsOs3 | Alexandria via LeMat-Bulk | PBE | relaxed; space group = Pm-3m, No. 221; V = 94.3 Å³ per cell; M_tot = 1.69 μB/f.u.; DFT formation energy = 1.510 eV/atom
1.0
-3.9788 -1.9559 1.0330
1.4950 -3.9449 -1.7107
1.6302 -1.1560 4.0902
Os Li As
3 1 1
direct
0.5000 0.0000 0.0000 Os
0.0000 0.5000 0.0000 Os
0.0000 0.0000 0.5000 Os
0.5000 0.5000 0.5000 Li
0.0000 0.0000 0.0000 As